Computed, not measured: a relaxed CoAu3O crystal at the PBE with a Hubbard U level of DFT.

Summary:
As for the crystal system: cubic. The value obtained for the total energy is -2.643 eV/atom. The density of states at the Fermi level comes out at 7.7 states/eV/cell.

a b c (Å): 4.7591 4.7591 4.7591
angles (deg): 90.00 90.00 90.00
Positions (direct):
Co 0.0000 0.0000 0.0000
Au 0.0000 0.0000 0.5000
Au 0.0000 0.5000 0.0000
Au 0.5000 0.0000 0.0000
O 0.5000 0.5000 0.5000